Compound: ZrAlW
Source: Alexandria
Functional: PBE
Structure: optimized geometry

For the total energy, the calculation gives -0.311 hartree per atom. As for the space group: No. 1. The density of states at the Fermi level is 2.63 states/eV/f.u. The value obtained for the excess energy over the best structure of this formula in the dataset is 240 meV/atom.

Cell and atoms, written as POSCAR:
```
ZrAlW
1.0
3.002 0.000 0.000
1.082 5.357 0.000
1.094 1.044 6.730
Zr Al W
2 2 2
Direct
0.000 0.000 0.000 Zr
0.192 0.117 0.398 Zr
0.692 0.814 0.702 Al
0.828 0.637 0.355 Al
0.374 0.382 0.702 W
0.521 0.478 0.042 W
```

---

Compound: ZrAlW
Source: Alexandria
Functional: PBE
Structure: optimized geometry

For the total energy, the calculation gives -0.311 hartree per atom. As for the space group: No. 107. The density of states at the Fermi level is 3.30 states/eV/f.u. The value obtained for the excess energy over the best structure of this formula in the dataset is 249 meV/atom.

Cell and atoms, written as POSCAR:
```
ZrAlW
1.0
3.459 0.000 0.000
0.000 3.459 0.000
0.000 0.000 9.047
Zr Al W
2 2 2
Direct
0.000 0.000 0.000 Zr
0.500 0.500 0.500 Zr
0.000 0.000 0.682 Al
0.500 0.500 0.182 Al
0.000 0.000 0.328 W
0.500 0.500 0.828 W
```

---

Compound: ZrAlW4
Source: Alexandria
Functional: PBE
Structure: optimized geometry

For the total energy, the calculation gives -0.389 hartree per atom. As for the space group: No. 216. The density of states at the Fermi level is 3.56 states/eV/f.u.

Cell and atoms, written as POSCAR:
```
ZrAlW4
1.0
0.000 3.774 3.774
3.774 0.000 3.774
3.774 3.774 0.000
Zr Al W
1 1 4
Direct
0.000 0.000 0.000 Zr
0.750 0.750 0.750 Al
0.376 0.376 0.376 W
0.376 0.376 0.873 W
0.376 0.873 0.376 W
0.873 0.376 0.376 W
```

---

Compound: ZrAlW2
Source: Alexandria
Functional: PBE
Structure: optimized geometry

For the total energy, the calculation gives -0.342 hartree per atom. As for the space group: No. 160. The density of states at the Fermi level is 3.17 states/eV/f.u.

Cell and atoms, written as POSCAR:
```
ZrAlW2
1.0
2.859 0.000 0.000
-1.429 2.476 0.000
0.000 0.000 29.767
Zr Al W
3 3 6
Direct
0.000 0.000 0.000 Zr
0.333 0.667 0.667 Zr
0.667 0.333 0.333 Zr
0.000 0.000 0.754 Al
0.333 0.667 0.421 Al
0.667 0.333 0.087 Al
0.000 0.000 0.243 W
0.000 0.000 0.496 W
0.333 0.667 0.163 W
0.333 0.667 0.910 W
0.667 0.333 0.577 W
0.667 0.333 0.830 W
```

---

Compound: ZrAlW
Source: Alexandria
Functional: PBE
Structure: optimized geometry

For the total energy, the calculation gives -0.308 hartree per atom. As for the space group: No. 107. The density of states at the Fermi level is 2.66 states/eV/f.u. The value obtained for the excess energy over the best structure of this formula in the dataset is 313 meV/atom.

Cell and atoms, written as POSCAR:
```
ZrAlW
1.0
2.830 0.000 0.000
0.000 2.830 0.000
0.000 0.000 13.399
Zr Al W
2 2 2
Direct
0.000 0.000 0.000 Zr
0.500 0.500 0.500 Zr
0.000 0.000 0.672 Al
0.500 0.500 0.172 Al
0.000 0.000 0.319 W
0.500 0.500 0.819 W
```

---

Compound: ZrAlW
Source: Alexandria
Functional: PBE
Structure: optimized geometry

For the total energy, the calculation gives -0.318 hartree per atom. As for the space group: No. 63. The density of states at the Fermi level is 1.06 states/eV/f.u. The value obtained for the excess energy over the best structure of this formula in the dataset is 53 meV/atom.

Cell and atoms, written as POSCAR:
```
ZrAlW
1.0
3.343 0.000 0.000
0.000 14.181 0.000
0.000 0.000 4.534
Zr Al W
4 4 4
Direct
0.000 0.075 0.250 Zr
0.000 0.925 0.750 Zr
0.500 0.425 0.750 Zr
0.500 0.575 0.250 Zr
0.000 0.389 0.250 Al
0.000 0.611 0.750 Al
0.500 0.111 0.750 Al
0.500 0.889 0.250 Al
0.000 0.260 0.750 W
0.000 0.740 0.250 W
0.500 0.240 0.250 W
0.500 0.760 0.750 W
```

---

Number 1: formation energy -0.046 eV per atom. Number 2: formation energy -0.037 eV per atom. Number 3: formation energy 0.107 eV per atom. Number 4: formation energy 0.256 eV per atom. Number 5: formation energy 0.027 eV per atom. Number 6: formation energy -0.233 eV per atom.